# 1
6
Lattice="3.2323 0.0000 -0.0211 0.0000 3.1724 0.0000 -3.3362 0.0000 16.4924" Properties=species:S:1:pos:R:3 comment="AlInBi PBE optimized geometry" dos_ef_per_ev_atom=0.48 density_g_cm3=6.90 e_tot_ev_per_atom=-3.27 formation_enthalpy_0k_mev_per_atom=182 magnetic_moment_mub_per_cell=0.0 pbc="T T T"
Al -2.9132 0.0000 15.0729
Al -1.2451 1.5862 6.8267
Bi 0.3061 0.0000 12.1493
Bi 1.9742 1.5862 3.9031
In 0.3577 0.0000 8.8724
In 2.0258 1.5862 0.6262

# 2
4
Lattice="5.1309 0.0000 0.0000 2.5654 4.4435 0.0000 2.5654 1.4812 4.1893" Properties=species:S:1:pos:R:3 comment="TbErMnHg PBE optimized geometry" dos_ef_per_ev_atom=1.45 density_g_cm3=10.11 e_tot_ev_per_atom=-4.75 formation_enthalpy_0k_mev_per_atom=-83 magnetic_moment_mub_per_cell=2.9 pbc="T T T"
Mn 2.5654 1.4812 1.0473
Tb 0.0000 0.0000 0.0000
Hg 7.6963 4.4435 3.1420
Er 5.1309 2.9623 2.0947

# 3
5
Lattice="5.5380 0.0000 0.0000 0.0000 5.9351 0.0000 0.0000 0.0000 5.5380" Properties=species:S:1:pos:R:3 comment="SrCa2YS PBE optimized geometry" dos_ef_per_ev_atom=1.28 density_g_cm3=2.63 e_tot_ev_per_atom=-3.80 magnetic_moment_mub_per_cell=0.8 pbc="T T T"
Y 2.7690 2.9675 2.7690
Sr 0.0000 2.9675 0.0000
Ca 0.0000 0.0000 2.7690
Ca 2.7690 0.0000 0.0000
S 0.0000 0.0000 0.0000

# 4
14
Lattice="1.7091 -5.5546 -4.7696 2.2372 -2.7393 7.3503 -7.7588 1.8772 -1.6729" Properties=species:S:1:pos:R:3 comment="RhPb4Au2 PBE optimized geometry" dos_ef_per_ev_atom=0.42 density_g_cm3=12.18 e_tot_ev_per_atom=-4.12 formation_enthalpy_0k_mev_per_atom=-11 magnetic_moment_mub_per_cell=0.0 pbc="T T T"
Rh -2.1665 -1.3495 3.2755
Rh 0.3922 -1.1552 0.2077
Pb -2.7114 -5.5719 -0.7400
Pb -5.1113 -0.6090 -2.2170
Pb -0.0037 -5.1482 -3.5267
Pb -1.4992 -1.5585 -1.6952
Pb -4.1034 -3.2197 -4.4780
Pb -0.0615 -2.9112 2.2402
Pb 1.4349 -6.5016 0.4085
Pb -3.7220 -2.9616 1.5201
Au 1.0854 -5.3997 3.0316
Au -3.9118 -3.0908 -1.4789
Au -4.7669 -0.3129 0.9071
Au -0.0315 -4.0297 -0.6434

# 5
5
Lattice="5.4883 0.0000 0.0000 0.0000 4.0544 0.0000 0.0000 0.0000 5.4883" Properties=species:S:1:pos:R:3 comment="Y2InBIr PBE optimized geometry" dos_ef_per_ev_atom=1.15 density_g_cm3=6.74 e_tot_ev_per_atom=-6.41 formation_enthalpy_0k_mev_per_atom=-174 magnetic_moment_mub_per_cell=0.0 pbc="T T T"
Y 0.0000 0.0000 2.7441
Y 2.7441 0.0000 0.0000
B 0.0000 2.0272 0.0000
Ir 0.0000 0.0000 0.0000
In 2.7441 2.0272 2.7441

# 6
5
Lattice="-2.9412 3.2778 2.3884 -3.5044 -0.5689 -3.5348 -2.0415 -3.7459 2.6268" Properties=species:S:1:pos:R:3 comment="Tl3SbN PBE optimized geometry" dos_ef_per_ev_atom=0.46 density_g_cm3=9.89 e_tot_ev_per_atom=-3.33 magnetic_moment_mub_per_cell=0.0 pbc="T T T"
Sb -4.2435 -0.5185 0.7402
Tl -1.7522 -0.2845 -1.7674
Tl -1.0207 -1.8729 1.3134
Tl -1.4706 1.6389 1.1942
N 0.0000 0.0000 0.0000

# 7
6
Lattice="-4.0995 0.6608 -0.8248 1.1361 -2.3740 3.3160 0.1247 6.7662 4.8013" Properties=species:S:1:pos:R:3 comment="AcCeP2Pt2 PBE optimized geometry" dos_ef_per_ev_atom=1.03 density_g_cm3=10.56 e_tot_ev_per_atom=-6.81 formation_enthalpy_0k_mev_per_atom=-1320 magnetic_moment_mub_per_cell=0.7 pbc="T T T"
Ac 0.0000 0.0000 0.0000
Ce 0.0624 3.3831 2.4007
P -0.5768 0.3895 3.1790
P -2.2619 4.6635 4.1136
Pt -0.5182 3.5670 5.4337
Pt -2.3204 1.4860 1.8589

# 8
20
Lattice="4.1352 0.0000 0.0000 0.0000 5.8224 0.0000 0.0000 0.0000 14.3392" Properties=species:S:1:pos:R:3 comment="AlGaAg3 PBE optimized geometry" dos_ef_per_ev_atom=0.51 density_g_cm3=8.09 e_tot_ev_per_atom=-3.06 formation_enthalpy_0k_mev_per_atom=2 magnetic_moment_mub_per_cell=0.0 pbc="T T T"
Al 3.1014 3.5587 9.3455
Al 1.0338 5.1749 2.1760
Al 1.0338 2.2637 4.9936
Al 3.1014 0.6475 12.1632
Ga 1.0338 5.0021 7.9728
Ga 3.1014 3.7314 0.8032
Ga 3.1014 0.8203 6.3663
Ga 1.0338 2.0909 13.5359
Ag 1.0338 5.0790 10.7740
Ag 3.1014 3.6546 3.6044
Ag 3.1014 0.7434 3.5652
Ag 1.0338 2.1678 10.7348
Ag 3.1014 0.6575 9.2968
Ag 1.0338 2.2537 2.1273
Ag 1.0338 5.1649 5.0423
Ag 3.1014 3.5687 12.2119
Ag 3.1014 3.7058 6.5129
Ag 1.0338 5.0277 13.6825
Ag 1.0338 2.1165 7.8263
Ag 3.1014 0.7946 0.6567

# 9
6
Lattice="5.8151 1.2735 1.8178 3.7498 4.6235 1.8178 2.1347 1.3161 4.9495" Properties=species:S:1:pos:R:3 comment="PtRhW PBE optimized geometry" dos_ef_per_ev_atom=1.14 density_g_cm3=17.49 e_tot_ev_per_atom=-8.96 formation_enthalpy_0k_mev_per_atom=-180 magnetic_moment_mub_per_cell=0.0 pbc="T T T"
Pt 5.8488 3.5079 5.9487
Pt 4.6686 2.7803 3.4400
Rh 1.5974 0.8868 2.2627
Rh 8.9200 5.4014 7.1260
W 7.8360 4.7331 4.5901
W 2.6814 1.5551 4.7986

# 10
10
Lattice="7.5171 2.3928 -0.5498 3.8934 8.0420 -2.7931 -0.3720 -0.0179 6.1075" Properties=species:S:1:pos:R:3 comment="SmDy7Tm2 PBE optimized geometry" dos_ef_per_ev_atom=1.41 density_g_cm3=8.63 e_tot_ev_per_atom=-4.57 formation_enthalpy_0k_mev_per_atom=20 magnetic_moment_mub_per_cell=0.0 pbc="T T T"
Sm 7.5171 2.3928 -0.5498
Dy 2.9642 6.4217 0.2068
Dy 8.0743 3.9952 2.5578
Dy 2.0383 4.8075 3.2065
Dy 9.0002 5.6095 -0.4419
Dy 7.1874 8.4279 -1.5673
Dy 3.8511 1.9891 4.3319
Dy 5.7053 5.2174 -1.6714
Tm 6.2653 6.8136 1.4290
Tm 4.7732 3.6034 1.3356

# 11
4
Lattice="2.9324 0.0000 0.0000 -1.4662 2.5395 0.0000 0.0000 0.0000 9.9289" Properties=species:S:1:pos:R:3 comment="AsAu3 PBE optimized geometry" dos_ef_per_ev_atom=0.50 density_g_cm3=14.95 e_tot_ev_per_atom=-3.48 formation_enthalpy_0k_mev_per_atom=144 magnetic_moment_mub_per_cell=0.0 pbc="T T T"
As 0.0000 0.0000 9.9287
Au 0.0000 0.0000 4.9637
Au 1.4662 0.8465 2.4784
Au 1.4662 0.8465 7.4504

# 12
12
Lattice="-1.2707 -4.7767 1.7645 5.0207 1.5282 -0.0440 -1.7659 2.8964 3.9545" Properties=species:S:1:pos:R:3 comment="Li3Mg2NbO6 PBE optimized geometry" dos_ef_per_ev_atom=0.00 density_g_cm3=3.67 e_tot_ev_per_atom=-6.52 magnetic_moment_mub_per_cell=0.0 pbc="T T T"
Li 3.0587 1.8951 2.2434
Li -1.0747 -2.2472 3.4316
Li 0.9920 -0.1760 2.8375
Mg 2.9229 -0.5740 0.5590
Mg 0.8270 -2.6744 1.1615
Nb 0.0000 0.0000 0.0000
O 0.4890 -1.2638 4.6442
O 2.4290 -1.7932 2.1986
O 1.4950 0.9117 1.0308
O 2.5134 0.7650 4.0623
O -0.4450 1.4412 3.4764
O -0.5294 -1.1170 1.6127

# 13
3
Lattice="-1.6360 -5.3757 2.7022 1.2195 -4.4685 4.2260 -1.6262 0.8936 2.8028" Properties=species:S:1:pos:R:3 comment="AlInAs PBE optimized geometry" dos_ef_per_ev_atom=0.23 density_g_cm3=5.51 e_tot_ev_per_atom=-3.63 formation_enthalpy_0k_mev_per_atom=84 magnetic_moment_mub_per_cell=0.0 pbc="T T T"
As -1.1839 -3.0325 4.3112
Al -0.4499 -9.5475 6.8142
In -0.8254 -6.2148 5.5338

# 14
12
Lattice="-0.3456 4.0097 -3.2190 -0.9454 -5.6561 -2.8186 -11.3871 0.3937 1.7131" Properties=species:S:1:pos:R:3 comment="PmThSn4 PBE optimized geometry" dos_ef_per_ev_atom=0.62 density_g_cm3=8.16 e_tot_ev_per_atom=-5.03 formation_enthalpy_0k_mev_per_atom=-331 magnetic_moment_mub_per_cell=0.0 pbc="T T T"
Pm -0.6455 -0.8232 -3.0188
Pm -6.1662 -2.6312 -0.5528
Th -2.9329 1.0974 -0.3737
Th -8.7998 3.3060 -1.1322
Sn -3.0696 1.5048 -3.9651
Sn -4.0862 -0.9678 -2.8107
Sn -9.6085 -2.7575 -0.3594
Sn -8.5919 -0.2848 -1.5138
Sn -6.3615 0.9529 -0.1922
Sn -11.8372 -4.0140 -1.6659
Sn -6.3165 -2.2056 -4.1323
Sn -0.8408 2.7613 -2.6585

# 15
4
Lattice="2.6817 0.0000 0.0000 0.0000 4.2314 0.0000 0.0000 0.0000 5.3165" Properties=species:S:1:pos:R:3 comment="BeReAg2 PBE optimized geometry" dos_ef_per_ev_atom=0.85 density_g_cm3=11.31 e_tot_ev_per_atom=-4.79 formation_enthalpy_0k_mev_per_atom=683 magnetic_moment_mub_per_cell=0.0 pbc="T T T"
Re 1.3408 2.1157 3.9874
Ag 0.0000 0.0000 0.0217
Ag 0.0000 0.0000 2.6366
Be 1.3408 2.1157 1.3291

# 16
3
Lattice="5.1154 0.0000 0.0000 2.5577 4.4301 0.0000 2.5577 1.4767 4.1767" Properties=species:S:1:pos:R:3 comment="SrMgAs PBE optimized geometry" dos_ef_per_ev_atom=0.42 density_g_cm3=3.28 e_tot_ev_per_atom=-2.78 formation_enthalpy_0k_mev_per_atom=-142 magnetic_moment_mub_per_cell=0.0 pbc="T T T"
As 0.0000 0.0000 0.0000
Mg 5.1154 2.9534 2.0883
Sr 7.6731 4.4301 3.1325

# 17
5
Lattice="-0.7609 -0.7657 3.7950 2.3736 -5.0286 -0.5387 3.4897 1.5390 1.0102" Properties=species:S:1:pos:R:3 comment="MgCuSnB2 PBE optimized geometry" dos_ef_per_ev_atom=0.33 density_g_cm3=4.36 e_tot_ev_per_atom=-3.58 formation_enthalpy_0k_mev_per_atom=1027 magnetic_moment_mub_per_cell=0.0 pbc="T T T"
Mg 2.5512 -2.1276 2.1333
B 1.7449 0.7695 0.5051
B -0.3804 -0.3829 1.8975
Sn 1.1868 -2.5143 -0.2694
Cu 0.0000 0.0000 0.0000

# 18
8
Lattice="4.3866 0.0000 0.0000 0.0000 4.3866 0.0000 2.1933 2.1933 10.1453" Properties=species:S:1:pos:R:3 comment="ZrBi2Os PBE optimized geometry" dos_ef_per_ev_atom=0.87 density_g_cm3=11.90 e_tot_ev_per_atom=-6.28 formation_enthalpy_0k_mev_per_atom=609 magnetic_moment_mub_per_cell=0.0 pbc="T T T"
Os 0.0000 0.0000 0.0000
Os 4.3866 2.1933 5.0726
Bi 3.3379 1.0966 2.5363
Bi 1.0487 3.2899 2.5363
Bi 3.2899 3.2419 7.6090
Bi 5.4832 5.5312 7.6090
Zr 2.1933 2.1933 0.0000
Zr 2.1933 4.3866 5.0726

# 19
19
Lattice="8.1823 0.0000 -2.8929 -4.0912 7.0861 -2.8929 0.0000 0.0000 8.6787" Properties=species:S:1:pos:R:3 comment="TbPm12Co6 PBE optimized geometry" dos_ef_per_ev_atom=0.95 density_g_cm3=7.43 e_tot_ev_per_atom=-5.55 formation_enthalpy_0k_mev_per_atom=-62 magnetic_moment_mub_per_cell=0.0 pbc="T T T"
Tb 0.0000 0.0000 0.0000
Pm 2.0643 0.8170 5.7593
Pm 0.4717 3.5755 -0.6670
Pm 3.6195 3.5106 3.5599
Pm 2.0268 6.2692 -2.8664
Pm -2.3515 5.7068 0.0265
Pm 3.3323 1.3793 0.6670
Pm 0.7588 5.7068 2.2259
Pm 6.4427 1.3793 2.8664
Pm 5.3217 2.1962 -2.2258
Pm 0.3247 2.1962 2.9194
Pm 3.7665 4.8899 -0.0265
Pm -1.2305 4.8899 5.1187
Co 1.1324 3.5431 5.1401
Co 2.9587 3.5431 -2.2472
Co 0.4566 6.2953 -0.6457
Co 3.6346 0.7908 3.5386
Co 5.6802 2.7522 0.6457
Co -1.5890 4.3339 2.2472

# 20
4
Lattice="3.5291 -0.0006 0.0002 -1.7643 3.0572 0.0011 -1.7654 -1.0224 11.0529" Properties=species:S:1:pos:R:3 comment="YTmThSc PBE optimized geometry" dos_ef_per_ev_atom=1.55 density_g_cm3=7.45 e_tot_ev_per_atom=-6.15 formation_enthalpy_0k_mev_per_atom=22 magnetic_moment_mub_per_cell=0.4 pbc="T T T"
Y 2.0972 0.7949 3.9924
Tm 0.3321 -0.2266 6.8702
Th -1.4314 0.7918 9.6530
Sc -1.4309 2.8335 1.2574

# 21
5
Lattice="3.9282 0.0000 -2.0580 -1.0782 3.7774 -2.0580 -0.1377 -0.1825 4.5152" Properties=species:S:1:pos:R:3 comment="Li2CuRh2 PBE optimized geometry" dos_ef_per_ev_atom=1.40 density_g_cm3=7.34 e_tot_ev_per_atom=-4.17 formation_enthalpy_0k_mev_per_atom=352 magnetic_moment_mub_per_cell=0.0 pbc="T T T"
Li 1.7881 2.3699 -1.3650
Li 0.9243 1.2250 1.7642
Cu 0.0000 0.0000 0.0000
Rh 0.1046 2.7418 0.1996
Rh 2.6078 0.8531 0.1996

# 22
6
Lattice="-2.4934 4.6400 2.3069 -2.5668 -4.4360 3.5236 6.3233 0.5663 1.1329" Properties=species:S:1:pos:R:3 comment="As2P PBE optimized geometry" dos_ef_per_ev_atom=0.00 density_g_cm3=3.07 e_tot_ev_per_atom=-4.78 formation_enthalpy_0k_mev_per_atom=119 magnetic_moment_mub_per_cell=0.0 pbc="T T T"
As 0.8020 0.9777 3.4940
As -2.3187 -4.1423 3.6233
As 1.0574 3.1717 2.3408
As 2.8023 1.3494 4.9503
P 1.9886 1.1652 1.4582
P -3.6722 -1.3171 4.8898

# 23
4
Lattice="-3.3110 -2.8114 1.7506 0.4139 -4.6463 -0.4149 0.9067 -2.6166 3.7767" Properties=species:S:1:pos:R:3 comment="LuScNiPt PBE optimized geometry" dos_ef_per_ev_atom=0.84 density_g_cm3=10.83 e_tot_ev_per_atom=-6.56 formation_enthalpy_0k_mev_per_atom=-887 magnetic_moment_mub_per_cell=0.0 pbc="T T T"
Sc 0.0000 0.0000 0.0000
Ni -0.4976 -2.5186 1.2781
Lu -0.9952 -5.0372 2.5562
Pt -1.4929 -7.5558 3.8343

# 24
5
Lattice="-3.5522 -0.3313 3.9832 1.0566 -5.2172 0.5082 3.4081 0.9943 3.1220" Properties=species:S:1:pos:R:3 comment="GaTcAsBr2 PBE optimized geometry" dos_ef_per_ev_atom=0.81 density_g_cm3=4.94 e_tot_ev_per_atom=-4.09 magnetic_moment_mub_per_cell=1.1 pbc="T T T"
As 1.7040 0.4972 1.5610
Ga 0.4562 -2.2771 3.8067
Tc 0.0000 0.0000 0.0000
Br 0.5283 -2.6086 0.2541
Br -1.7761 -0.1657 1.9916

# 25
4
Lattice="-2.9367 0.9992 -0.3378 -0.9536 -3.5741 -2.2822 -1.0832 -1.9816 3.5559" Properties=species:S:1:pos:R:3 comment="TaMn2Re PBE optimized geometry" dos_ef_per_ev_atom=0.99 density_g_cm3=13.86 e_tot_ev_per_atom=-10.68 formation_enthalpy_0k_mev_per_atom=-23 magnetic_moment_mub_per_cell=2.1 pbc="T T T"
Mn 0.0000 0.0000 0.0000
Mn -1.9452 -1.2875 -1.3100
Re -2.0100 -0.4912 1.6090
Ta -1.0184 -2.7778 0.6368

# 26
7
Lattice="4.3780 0.0000 0.0000 2.1890 3.7915 0.0000 2.1890 1.2638 8.7622" Properties=species:S:1:pos:R:3 comment="Ce2TmGe2Pd2 PBE optimized geometry" dos_ef_per_ev_atom=1.20 density_g_cm3=9.22 e_tot_ev_per_atom=-5.90 formation_enthalpy_0k_mev_per_atom=-768 magnetic_moment_mub_per_cell=1.3 pbc="T T T"
Ce 2.1890 1.2638 5.1419
Ce 6.5670 3.7915 3.6203
Tm 0.0000 0.0000 0.0000
Ge 6.5670 3.7915 6.9078
Ge 2.1890 1.2638 1.8544
Pd 4.3780 2.5276 1.7632
Pd 4.3780 2.5277 6.9990